[1]
VASP calculation (PBE) on crystalline Cd2In2Ag at its relaxed geometry.

Cell and atoms, written as CIF:
```
data_Cd2In2Ag
_chemical_formula_sum 'Cd4 In4 Ag2'
_cell_length_a 7.475
_cell_length_b 7.475
_cell_length_c 4.391
_cell_angle_alpha 90.00
_cell_angle_beta 90.00
_cell_angle_gamma 90.00
_symmetry_space_group_name_H-M 'P 1'
_symmetry_Int_Tables_number 1
_symmetry_space_group_name_Hall 'P 1'
loop_
_atom_site_label
_atom_site_type_symbol
_atom_site_fract_x
_atom_site_fract_y
_atom_site_fract_z
_atom_site_occupancy
In1 In 0.836 0.336 0.500 1
In2 In 0.164 0.664 0.500 1
In3 In 0.336 0.164 0.500 1
In4 In 0.664 0.836 0.500 1
Cd1 Cd 0.142 0.358 0.000 1
Cd2 Cd 0.358 0.858 0.000 1
Cd3 Cd 0.858 0.642 0.000 1
Cd4 Cd 0.642 0.142 0.000 1
Ag1 Ag 0.000 0.000 0.000 1
Ag2 Ag 0.500 0.500 0.000 1
```

Computed properties:
Distance to the lowest polymorph of the same formula ... 0 meV per atom
Calculated formation energy ... 0.10 eV/atom
ρ ... 7612 kg/m3
Magnetic moment ... 0.000 μB/f.u.
Space-group type ... P4/mbm, No. 127

[2]
VASP calculation (PBE) on crystalline SrCeGa4 at its relaxed geometry.

Cell and atoms, written as CIF:
```
data_SrCeGa4
_chemical_formula_sum 'Sr1 Ce1 Ga4'
_cell_length_a 4.335
_cell_length_b 4.335
_cell_length_c 8.199
_cell_angle_alpha 105.33
_cell_angle_beta 105.33
_cell_angle_gamma 90.00
_symmetry_space_group_name_H-M 'P 1'
_symmetry_Int_Tables_number 1
_symmetry_space_group_name_Hall 'P 1'
loop_
_atom_site_label
_atom_site_type_symbol
_atom_site_fract_x
_atom_site_fract_y
_atom_site_fract_z
_atom_site_occupancy
Sr1 Sr 0.250 0.750 0.500 1
Ga1 Ga 0.419 0.419 0.838 1
Ga2 Ga 0.835 0.335 0.671 1
Ga3 Ga 0.665 0.165 0.329 1
Ga4 Ga 0.581 0.581 0.162 1
Ce1 Ce 0.000 0.000 0.000 1
```

Computed properties:
Distance to the lowest polymorph of the same formula ... 0 meV per atom
Calculated formation energy ... -0.50 eV/atom
ρ ... 5886 kg/m3
Magnetic moment ... 0.788 μB/f.u.
Space-group type ... I-4m2, No. 119

[3]
VASP calculation (PBE) on crystalline Ag6Pd10Pt at its relaxed geometry.

Cell and atoms, written as CIF:
```
data_Ag6Pd10Pt
_chemical_formula_sum 'Ag6 Pd10 Pt1'
_cell_length_a 5.546
_cell_length_b 7.725
_cell_length_c 7.725
_cell_angle_alpha 120.00
_cell_angle_beta 90.00
_cell_angle_gamma 90.00
_symmetry_space_group_name_H-M 'P 1'
_symmetry_Int_Tables_number 1
_symmetry_space_group_name_Hall 'P 1'
loop_
_atom_site_label
_atom_site_type_symbol
_atom_site_fract_x
_atom_site_fract_y
_atom_site_fract_z
_atom_site_occupancy
Pd1 Pd 0.845 0.684 0.684 1
Pd2 Pd 0.845 0.000 0.316 1
Pd3 Pd 0.000 0.667 0.333 1
Pd4 Pd 0.500 0.333 0.667 1
Pd5 Pd 0.155 0.000 0.684 1
Pd6 Pd 0.155 0.316 0.316 1
Pd7 Pd 0.000 0.333 0.667 1
Pd8 Pd 0.500 0.667 0.333 1
Pd9 Pd 0.155 0.684 0.000 1
Pd10 Pd 0.845 0.316 0.000 1
Ag1 Ag 0.663 0.659 0.000 1
Ag2 Ag 0.337 0.659 0.659 1
Ag3 Ag 0.663 0.341 0.341 1
Ag4 Ag 0.337 0.000 0.341 1
Ag5 Ag 0.337 0.341 0.000 1
Ag6 Ag 0.663 0.000 0.659 1
Pt1 Pt 0.500 0.000 0.000 1
```

Computed properties:
Calculated formation energy ... 0.14 eV/atom
ρ ... 11044 kg/m3
Magnetic moment ... 0.000 μB/f.u.
Space-group type ... P-31m, No. 162

[4]
VASP calculation (PBE) on crystalline Ce3C2 at its relaxed geometry.

Cell and atoms, written as CIF:
```
data_Ce3C2
_chemical_formula_sum 'Ce6 C4'
_cell_length_a 6.180
_cell_length_b 6.180
_cell_length_c 7.061
_cell_angle_alpha 64.05
_cell_angle_beta 64.05
_cell_angle_gamma 60.00
_symmetry_space_group_name_H-M 'P 1'
_symmetry_Int_Tables_number 1
_symmetry_space_group_name_Hall 'P 1'
loop_
_atom_site_label
_atom_site_type_symbol
_atom_site_fract_x
_atom_site_fract_y
_atom_site_fract_z
_atom_site_occupancy
Ce1 Ce 0.930 0.250 0.250 1
Ce2 Ce 0.250 0.570 0.250 1
Ce3 Ce 0.430 0.070 0.750 1
Ce4 Ce 0.570 0.930 0.250 1
Ce5 Ce 0.750 0.430 0.750 1
Ce6 Ce 0.070 0.750 0.750 1
C1 C 0.338 0.338 0.986 1
C2 C 0.838 0.838 0.486 1
C3 C 0.662 0.662 0.014 1
C4 C 0.162 0.162 0.514 1
```

Computed properties:
Distance to the lowest polymorph of the same formula ... 0 meV per atom
Calculated formation energy ... -0.09 eV/atom
ρ ... 7323 kg/m3
Magnetic moment ... 1.640 μB/f.u.
Space-group type ... R-3c, No. 167